The following is a DFT calculation (GGA-PBEsol) of crystalline ScZnMo2 at its relaxed geometry.

The space group is Pm (No. 6) and the conventional cell measures 2.757, 4.251 and 5.630 Å, with angles of 90.00, 101.46 and 90.00 degrees. The inequivalent atoms are Sc at (0.000, 0.000, 0.000), Zn at (0.599, 0.500, 0.260), Mo at (0.168, 0.000, 0.517) and Mo at (0.512, 0.500, 0.733).

The total magnetization is 0.00 μB/f.u. For the formation energy, the calculation gives 0.075 eV per atom.